TmTlSi: relaxed, GGA-PBE.

Summary:
The value obtained for the spin magnetization is 0.0001 μB per atom. As for the energy above the most stable polymorph in this dataset: 0.0428 eV per atom.

```
TmTlSi
1.0
0.000 3.449 3.449
3.449 0.000 3.449
3.449 3.449 0.000
Tm Tl Si
1 1 1
Direct
0.000 0.000 0.000
0.250 0.250 0.250
0.750 0.750 0.750
```

***

TmTlSi: relaxed, GGA-PBE.

Summary:
The value obtained for the spin magnetization is 0.0010 μB per atom. As for the energy above the most stable polymorph in this dataset: 0.0000 eV per atom.

```
TmTlSi
1.0
0.000 3.384 3.384
3.384 0.000 3.384
3.384 3.384 0.000
Tm Tl Si
1 1 1
Direct
0.000 0.000 0.000
0.500 0.500 0.500
0.750 0.750 0.750
```

***

TlSi5W3: relaxed, GGA-PBE.

Summary:
The value obtained for the spin magnetization is 0.0002 μB per atom.

```
TlSi5W3
1.0
5.453 0.000 0.000
-2.726 4.722 0.000
0.000 0.000 6.375
Tl Si W
1 5 3
Direct
0.000 0.000 0.000
0.000 0.000 0.500
0.333 0.667 0.184
0.333 0.667 0.816
0.667 0.333 0.184
0.667 0.333 0.816
0.000 0.500 0.500
0.500 0.000 0.500
0.500 0.500 0.500
```

***

Tl2Zn2Si3: relaxed, GGA-PBE.

```
Tl2Zn2Si3
1.0
2.156 1.245 8.901
-2.156 1.245 8.901
0.000 -2.489 8.901
Tl Zn Si
2 2 3
Direct
0.000 0.000 0.000
0.446 0.446 0.446
0.166 0.166 0.166
0.725 0.725 0.725
0.264 0.264 0.264
0.576 0.576 0.576
0.872 0.872 0.872
```

***

ZrTlSi: relaxed, GGA-PBE.

Summary:
The value obtained for the spin magnetization is 0.1744 μB per atom. As for the energy above the most stable polymorph in this dataset: 0.0000 eV per atom.

```
ZrTlSi
1.0
0.000 3.252 3.252
3.252 0.000 3.252
3.252 3.252 0.000
Zr Tl Si
1 1 1
Direct
0.000 0.000 0.000
0.500 0.500 0.500
0.750 0.750 0.750
```

***

Zr3TlSi5: relaxed, GGA-PBE.

Summary:
The value obtained for the spin magnetization is 0.0004 μB per atom.

```
Zr3TlSi5
1.0
5.883 0.000 0.000
-2.942 5.095 0.000
0.000 0.000 6.679
Zr Tl Si
3 1 5
Direct
0.000 0.500 0.000
0.500 0.000 0.000
0.500 0.500 0.000
0.000 0.000 0.500
0.000 0.000 0.000
0.333 0.667 0.328
0.333 0.667 0.672
0.667 0.333 0.328
0.667 0.333 0.672
```

***

ZrTlSi: relaxed, GGA-PBE.

Summary:
The value obtained for the spin magnetization is 0.0046 μB per atom. As for the energy above the most stable polymorph in this dataset: 0.1603 eV per atom.

```
ZrTlSi
1.0
1.612 0.931 7.810
-1.612 0.931 7.810
0.000 -1.862 7.810
Zr Tl Si
1 1 1
Direct
0.000 0.000 0.000
0.225 0.225 0.225
0.112 0.112 0.112
```

***

TmUSi: relaxed, GGA-PBE.

Summary:
The value obtained for the spin magnetization is 1.0201 μB per atom. As for the energy above the most stable polymorph in this dataset: 0.0000 eV per atom.

```
TmUSi
1.0
0.000 3.371 3.371
3.371 0.000 3.371
3.371 3.371 0.000
Tm U Si
1 1 1
Direct
0.000 0.000 0.000
0.500 0.500 0.500
0.250 0.250 0.250
```

***

TmSiW: relaxed, GGA-PBE.

Summary:
The value obtained for the spin magnetization is 0.1086 μB per atom.

```
TmSiW
1.0
0.000 3.116 3.116
3.116 0.000 3.116
3.116 3.116 0.000
Tm Si W
1 1 1
Direct
0.000 0.000 0.000
0.250 0.250 0.250
0.500 0.500 0.500
```

***

TmSiW: relaxed, GGA-PBE.

Summary:
The value obtained for the spin magnetization is 0.8844 μB per atom.

```
TmSiW
1.0
0.000 3.279 3.279
3.279 0.000 3.279
3.279 3.279 0.000
Tm Si W
1 1 1
Direct
0.000 0.000 0.000
0.750 0.750 0.750
0.250 0.250 0.250
```

***

YTmSi2: relaxed, GGA-PBE.

Summary:
The value obtained for the spin magnetization is 0.0006 μB per atom.

```
YTmSi2
1.0
3.814 0.000 0.000
0.000 2.120 5.235
0.000 -2.120 5.235
Y Tm Si
1 1 2
Direct
0.000 0.000 0.000
0.500 0.281 0.281
0.000 0.718 0.718
0.500 0.565 0.565
```

***

TmZrSi: relaxed, GGA-PBE.

Summary:
The value obtained for the spin magnetization is 0.0096 μB per atom.

```
TmZrSi
1.0
0.000 3.273 3.273
3.273 0.000 3.273
3.273 3.273 0.000
Tm Zr Si
1 1 1
Direct
0.000 0.000 0.000
0.500 0.500 0.500
0.250 0.250 0.250
```

***

TmZrSi4: relaxed, GGA-PBE.

Summary:
The value obtained for the spin magnetization is 0.0002 μB per atom.

```
TmZrSi4
1.0
3.702 0.000 0.000
0.000 1.878 7.744
0.000 -1.878 7.744
Tm Zr Si
1 1 4
Direct
0.000 0.000 0.000
0.500 0.212 0.212
0.000 0.353 0.353
0.000 0.662 0.662
0.500 0.565 0.565
0.500 0.851 0.851
```

***

TmZrSi2: relaxed, GGA-PBE.

Summary:
The value obtained for the spin magnetization is 0.0005 μB per atom.

```
TmZrSi2
1.0
3.793 0.000 0.000
0.000 1.979 5.090
0.000 -1.979 5.090
Tm Zr Si
1 1 2
Direct
0.000 0.000 0.000
0.500 0.283 0.283
0.000 0.724 0.724
0.500 0.566 0.566
```

***

USiW: relaxed, GGA-PBE.

Summary:
The value obtained for the spin magnetization is 0.0009 μB per atom.

```
USiW
1.0
0.000 3.178 3.178
3.178 0.000 3.178
3.178 3.178 0.000
U Si W
1 1 1
Direct
0.000 0.000 0.000
0.750 0.750 0.750
0.250 0.250 0.250
```

***

USiW: relaxed, GGA-PBE.

Summary:
The value obtained for the spin magnetization is 0.6246 μB per atom.

```
USiW
1.0
0.000 3.102 3.102
3.102 0.000 3.102
3.102 3.102 0.000
U Si W
1 1 1
Direct
0.000 0.000 0.000
0.250 0.250 0.250
0.500 0.500 0.500
```

***

YUSi: relaxed, GGA-PBE.

Summary:
The value obtained for the spin magnetization is 1.0564 μB per atom. As for the energy above the most stable polymorph in this dataset: 0.0000 eV per atom.

```
YUSi
1.0
0.000 3.408 3.408
3.408 0.000 3.408
3.408 3.408 0.000
Y U Si
1 1 1
Direct
0.000 0.000 0.000
0.500 0.500 0.500
0.750 0.750 0.750
```

***

UZnSi: relaxed, GGA-PBE.

Summary:
The value obtained for the spin magnetization is 1.1195 μB per atom.

```
UZnSi
1.0
0.000 3.172 3.172
3.172 0.000 3.172
3.172 3.172 0.000
U Zn Si
1 1 1
Direct
0.000 0.000 0.000
0.500 0.500 0.500
0.250 0.250 0.250
```

***

UZnSi: relaxed, GGA-PBE.

Summary:
The value obtained for the spin magnetization is 0.8109 μB per atom.

```
UZnSi
1.0
0.000 3.140 3.140
3.140 0.000 3.140
3.140 3.140 0.000
U Zn Si
1 1 1
Direct
0.000 0.000 0.000
0.750 0.750 0.750
0.500 0.500 0.500
```

***

UZnSi: relaxed, GGA-PBE.

Summary:
The value obtained for the spin magnetization is 0.6973 μB per atom.

```
UZnSi
1.0
0.000 3.269 3.269
3.269 0.000 3.269
3.269 3.269 0.000
U Zn Si
1 1 1
Direct
0.000 0.000 0.000
0.250 0.250 0.250
0.750 0.750 0.750
```

***

ZrUSi: relaxed, GGA-PBE.

Summary:
The value obtained for the spin magnetization is 0.0039 μB per atom. As for the energy above the most stable polymorph in this dataset: 0.7727 eV per atom.

```
ZrUSi
1.0
0.000 3.240 3.240
3.240 0.000 3.240
3.240 3.240 0.000
Zr U Si
1 1 1
Direct
0.000 0.000 0.000
0.250 0.250 0.250
0.500 0.500 0.500
```

***

ZrUSi: relaxed, GGA-PBE.

Summary:
The value obtained for the spin magnetization is 1.0493 μB per atom. As for the energy above the most stable polymorph in this dataset: 0.0000 eV per atom.

```
ZrUSi
1.0
0.000 3.276 3.276
3.276 0.000 3.276
3.276 3.276 0.000
Zr U Si
1 1 1
Direct
0.000 0.000 0.000
0.500 0.500 0.500
0.750 0.750 0.750
```

***

Si2W: relaxed, GGA-PBE.

Summary:
The value obtained for the spin magnetization is 0.0009 μB per atom. As for the energy above the most stable polymorph in this dataset: 1.2421 eV per atom.

```
Si2W
1.0
5.799 0.000 0.000
0.000 5.799 0.000
0.000 0.000 5.799
Si W
8 4
Direct
0.030 0.470 0.530
0.220 0.720 0.780
0.280 0.280 0.280
0.470 0.530 0.030
0.530 0.030 0.470
0.720 0.780 0.220
0.780 0.220 0.720
0.970 0.970 0.970
0.125 0.875 0.375
0.375 0.125 0.875
0.625 0.625 0.625
0.875 0.375 0.125
```

***

Si2W: relaxed, GGA-PBE.

Summary:
The value obtained for the spin magnetization is 0.0000 μB per atom. As for the energy above the most stable polymorph in this dataset: 0.4064 eV per atom.

```
Si2W
1.0
1.726 -7.723 0.000
1.726 7.723 0.000
0.000 0.000 3.373
Si W
4 2
Direct
0.061 0.939 0.750
0.248 0.752 0.250
0.752 0.248 0.750
0.939 0.061 0.250
0.372 0.628 0.750
0.628 0.372 0.250
```

***

SiW: relaxed, GGA-PBE.

Summary:
The value obtained for the spin magnetization is 0.0002 μB per atom.

```
SiW
1.0
0.000 2.514 2.514
2.514 0.000 2.514
2.514 2.514 0.000
Si W
1 1
Direct
0.000 0.000 0.000
0.500 0.500 0.500
```

***

Si2W: relaxed, GGA-PBE.

Summary:
The value obtained for the spin magnetization is 0.0006 μB per atom. As for the energy above the most stable polymorph in this dataset: 0.8624 eV per atom.

```
Si2W
1.0
0.000 3.415 3.415
3.415 0.000 3.415
3.415 3.415 0.000
Si W
4 2
Direct
0.000 0.000 0.000
0.000 0.000 0.500
0.000 0.500 0.000
0.500 0.000 0.000
0.375 0.375 0.375
0.625 0.625 0.625
```

***

Si2W: relaxed, GGA-PBE.

Summary:
The value obtained for the spin magnetization is 0.0008 μB per atom. As for the energy above the most stable polymorph in this dataset: 0.1213 eV per atom.

```
Si2W
1.0
0.000 3.988 4.465
2.299 0.000 4.465
2.299 3.988 0.000
Si W
4 2
Direct
0.038 0.712 0.038
0.288 0.962 0.288
0.712 0.038 0.712
0.962 0.288 0.962
0.375 0.375 0.375
0.625 0.625 0.625
```

***

YSiW2: relaxed, GGA-PBE.

Summary:
The value obtained for the spin magnetization is 0.0002 μB per atom.

```
YSiW2
1.0
0.000 3.277 3.277
3.277 0.000 3.277
3.277 3.277 0.000
Y Si W
1 1 2
Direct
0.000 0.000 0.000
0.750 0.750 0.750
0.250 0.250 0.250
0.500 0.500 0.500
```

***

YSiW: relaxed, GGA-PBE.

Summary:
The value obtained for the spin magnetization is 0.9367 μB per atom.

```
YSiW
1.0
0.000 3.321 3.321
3.321 0.000 3.321
3.321 3.321 0.000
Y Si W
1 1 1
Direct
0.000 0.000 0.000
0.750 0.750 0.750
0.250 0.250 0.250
```

***

YSi2W2: relaxed, GGA-PBE.

Summary:
The value obtained for the spin magnetization is 0.0010 μB per atom.

```
YSi2W2
1.0
-1.989 1.989 5.596
1.989 -1.989 5.596
1.989 1.989 -5.596
Y Si W
1 2 2
Direct
0.000 0.000 0.000
0.393 0.393 0.000
0.607 0.607 0.000
0.250 0.750 0.500
0.750 0.250 0.500
```

***

Computed values of raw total energy (unit: eV/cell) for the preceding records, in sequence: -12.075, -12.204, -66.236, -20.804, -15.529, -54.452, -15.049, -20.718, -22.298, -18.790, -25.114, -19.534, -38.228, -27.236, -26.203, -28.145, -22.696, -17.230, -17.039, -16.441, -22.563, -24.881, -84.473, -47.251, -17.259, -44.515, -48.961, -36.678, -20.563, -45.157.
Computed values of ρ (unit: g cm⁻³) for the preceding records, in sequence: 8.1, 8.6, 9.1, 7.2, 7.8, 5.1, 7.6, 9.4, 10.5, 9.0, 6.2, 6.8, 5.7, 6.9, 11.6, 12.5, 7.4, 8.6, 8.9, 7.9, 8.7, 8.4, 8.2, 8.9, 11.1, 10.0, 9.7, 11.4, 6.8, 9.6.